a:
The following is a DFT calculation (PBE) of a geometry-optimized AlZn2Ge structure.

- Magnetization: 0.00 μB per cell

The structure in CIF format:
```
data_AlZn2Ge
_chemical_formula_sum 'Al1 Zn2 Ge1'
_symmetry_space_group_name_H-M 'P 4/m m m'
_symmetry_Int_Tables_number 123
_symmetry_space_group_name_Hall '-P 4 2'
_cell_length_a 4.035
_cell_length_b 4.035
_cell_length_c 4.103
_cell_angle_alpha 90.00
_cell_angle_beta 90.00
_cell_angle_gamma 90.00
loop_
_atom_site_label
_atom_site_type_symbol
_atom_site_fract_x
_atom_site_fract_y
_atom_site_fract_z
Al1 Al 0.000 0.000 0.000
Zn1 Zn 0.000 0.500 0.500
Ge1 Ge 0.500 0.500 0.000
```

b:
The following is a DFT calculation (PBE) of a geometry-optimized AlZn2Ge structure.

- Magnetization: 0.00 μB per cell

The structure in CIF format:
```
data_AlZn2Ge
_chemical_formula_sum 'Al4 Zn8 Ge4'
_symmetry_space_group_name_H-M 'F m -3 m'
_symmetry_Int_Tables_number 225
_symmetry_space_group_name_Hall '-F 4 2 3'
_cell_length_a 6.517
_cell_length_b 6.517
_cell_length_c 6.517
_cell_angle_alpha 90.00
_cell_angle_beta 90.00
_cell_angle_gamma 90.00
loop_
_atom_site_label
_atom_site_type_symbol
_atom_site_fract_x
_atom_site_fract_y
_atom_site_fract_z
Al1 Al 0.000 0.000 0.000
Zn1 Zn 0.250 0.250 0.250
Ge1 Ge 0.000 0.000 0.500
```

a has the most favorable energy; the next structure is 0.068 eV/atom above.

a:
The following is a DFT calculation (PBE) of a geometry-optimized AlZn2Ge structure.

- Magnetization: 0.00 μB per cell

The structure in CIF format:
```
data_AlZn2Ge
_chemical_formula_sum 'Al1 Zn2 Ge1'
_symmetry_space_group_name_H-M 'P 4/m m m'
_symmetry_Int_Tables_number 123
_symmetry_space_group_name_Hall '-P 4 2'
_cell_length_a 2.948
_cell_length_b 2.948
_cell_length_c 7.732
_cell_angle_alpha 90.00
_cell_angle_beta 90.00
_cell_angle_gamma 90.00
loop_
_atom_site_label
_atom_site_type_symbol
_atom_site_fract_x
_atom_site_fract_y
_atom_site_fract_z
Al1 Al 0.000 0.000 0.000
Zn1 Zn 0.500 0.500 0.241
Ge1 Ge 0.000 0.000 0.500
```

b:
The following is a DFT calculation (PBE) of a geometry-optimized AlZn2Ge structure.

- Magnetization: 0.00 μB per cell

The structure in CIF format:
```
data_AlZn2Ge
_chemical_formula_sum 'Al3 Zn6 Ge3'
_symmetry_space_group_name_H-M 'R 3 m'
_symmetry_Int_Tables_number 160
_symmetry_space_group_name_Hall 'R 3 -2"'
_cell_length_a 4.0456
_cell_length_b 4.0456
_cell_length_c 15.6986
_cell_angle_alpha 90.00
_cell_angle_beta 90.00
_cell_angle_gamma 120.00
loop_
_atom_site_label
_atom_site_type_symbol
_atom_site_fract_x
_atom_site_fract_y
_atom_site_fract_z
Al1 Al 0.0000 0.0000 0.0000
Zn1 Zn 0.0000 0.0000 0.4133
Zn2 Zn 0.0000 0.0000 0.5835
Ge1 Ge 0.0000 0.0000 0.8268
```

a has the most favorable energy; the next structure is 0.041 eV/atom above.